Entry 1:
Compound: KTe2Au
Source: the Alexandria database
Functional: meta-GGA SCAN
Structure: single point on PBEsol structure

a = 3.201 Å, b = 6.262 Å, c = 7.024 Å
α = 102.32°, β = 103.17°, γ = 90.00°
Fractional positions:
1 K 0.255 0.252 0.510
2 Te 0.960 0.093 0.920
3 Te 0.723 0.737 0.445
4 Au 0.562 0.418 0.124

space group = Cm (8)
crystal system = monoclinic
final energy = -38.408 eV/atom
D(E_F) = 0.308 states/eV per atom

=====

Entry 2:
Compound: K2TlPt
Source: the Alexandria database
Functional: meta-GGA SCAN
Structure: single point on PBEsol structure

a = 4.410 Å, b = 5.057 Å, c = 6.507 Å
α = 112.87°, β = 90.00°, γ = 90.00°
Fractional positions:
1 Tl 0.500 0.693 0.385
2 K 0.500 0.395 0.791
3 K 0.000 0.103 0.206
4 Pt 0.000 0.818 0.635

space group = Amm2 (38)
crystal system = orthorhombic
calculated formation energy = -0.17 eV per atom
D(E_F) = 0.436 states/eV per atom